1.
## In2SbAu2 (PBE)

Data for a geometry-optimized In2SbAu2 structure.

Computed properties:
Its space group is P4/mbm (127). The formation energy (no corrections) comes out at -0.07 eV/atom. The calculation puts the final energy at -33.00 eV/cell. The excess energy over the best structure of this formula in the dataset is 0.0 meV per atom.

Cell: 7.9043 7.9043 3.7207 Å, 90.00 90.00 90.00°
Fractional coordinates of all 10 atoms:
In (0.6676, 0.8324, 0.5000)
In (0.1676, 0.6676, 0.5000)
In (0.3324, 0.1676, 0.5000)
In (0.8324, 0.3324, 0.5000)
Au (0.8683, 0.6317, 0.0000)
Au (0.1317, 0.3683, 0.0000)
Au (0.6317, 0.1317, 0.0000)
Au (0.3683, 0.8683, 0.0000)
Sb (0.5000, 0.5000, 0.0000)
Sb (0.0000, 0.0000, 0.0000)

=====

2.
## ZnGaS3 (PBE)

Data for a geometry-optimized ZnGaS3 structure.

Computed properties:
Its space group is Pm-3m (221). The formation energy (no corrections) comes out at 0.39 eV/atom. The calculation puts the final energy at -14.73 eV/cell. The excess energy over the best structure of this formula in the dataset is 595.5 meV per atom.

Cell: 4.7276 4.7276 4.7276 Å, 90.00 90.00 90.00°
Fractional coordinates of all 5 atoms:
Ga (0.5000, 0.5000, 0.5000)
S (0.0000, 0.5000, 0.0000)
S (0.5000, 0.0000, 0.0000)
S (0.0000, 0.0000, 0.5000)
Zn (0.0000, 0.0000, 0.0000)